No. 1
# LaTb4Al2

A geometry-optimized LaTb4Al2 structure (PBE-GGA, the Alexandria database).

Cell and atoms, written as POSCAR:
```
LaTb4Al2
1.0
-0.735 2.930 4.442
-4.213 -0.968 3.189
2.662 -4.519 6.669
Al Tb La
2 4 1
Direct
0.282 0.282 0.155
0.718 0.718 0.845
0.420 0.420 0.741
0.155 0.155 0.536
0.580 0.580 0.259
0.845 0.845 0.464
0.000 0.000 0.000
```

## Properties
Excess energy over the best structure of this formula in the dataset   0 meV/atom
Formation enthalpy at 0 K   -4.7 kcal/mol of atoms

No. 2
# La2TbAl9

A geometry-optimized La2TbAl9 structure (PBE-GGA, the Alexandria database).

Cell and atoms, written as POSCAR:
```
La2TbAl9
1.0
5.681 0.000 0.000
2.841 4.920 0.000
2.841 1.640 8.930
Al Tb La
9 1 2
Direct
0.925 0.416 0.243
0.500 0.500 0.500
0.584 0.075 0.757
0.335 0.335 0.995
0.416 0.416 0.243
0.416 0.925 0.243
0.075 0.584 0.757
0.665 0.665 0.005
0.584 0.584 0.757
0.000 0.000 0.000
0.142 0.142 0.575
0.858 0.858 0.425
```

## Properties
Formation enthalpy at 0 K   -8.2 kcal/mol of atoms

No. 3
# LaTb2Al

A geometry-optimized LaTb2Al structure (PBE-GGA, the Alexandria database).

Cell and atoms, written as POSCAR:
```
LaTb2Al
1.0
5.109 0.000 0.000
2.554 4.424 0.000
2.554 1.475 5.592
Tb La Al
2 1 1
Direct
0.276 0.276 0.171
0.044 0.044 0.869
0.490 0.490 0.530
0.690 0.690 0.930
```

## Properties
Excess energy over the best structure of this formula in the dataset   202 meV/atom
Formation enthalpy at 0 K   0.4 kcal/mol of atoms

No. 4
# La2Tb4Al

A geometry-optimized La2Tb4Al structure (PBE-GGA, the Alexandria database).

Cell and atoms, written as POSCAR:
```
La2Tb4Al
1.0
3.630 0.000 0.000
1.815 3.144 0.000
1.815 1.048 19.530
Tb Al La
4 1 2
Direct
0.705 0.705 0.885
0.088 0.088 0.735
0.295 0.295 0.115
0.912 0.912 0.265
0.000 0.000 0.000
0.806 0.806 0.583
0.194 0.194 0.417
```

## Properties
Formation enthalpy at 0 K   -0.5 kcal/mol of atoms

No. 5
# LaTbAl

A geometry-optimized LaTbAl structure (PBE-GGA, the Alexandria database).

Cell and atoms, written as POSCAR:
```
LaTbAl
1.0
-3.944 -3.236 -1.756
5.083 -1.811 0.210
-1.034 -2.170 6.323
Al Tb La
2 2 2
Direct
0.334 0.667 0.250
0.666 0.333 0.750
0.333 0.666 0.750
0.667 0.334 0.250
0.000 0.000 0.500
0.000 0.000 0.000
```

## Properties
Excess energy over the best structure of this formula in the dataset   0 meV/atom
Formation enthalpy at 0 K   -5.1 kcal/mol of atoms

No. 6
# La14TbAl

A geometry-optimized La14TbAl structure (PBE-GGA, the Alexandria database).

Cell and atoms, written as POSCAR:
```
La14TbAl
1.0
7.241 0.972 0.000
-0.971 7.241 0.000
0.000 0.000 10.341
La Tb Al
14 1 1
Direct
0.615 0.385 0.241
0.135 0.385 0.759
0.875 0.625 0.000
0.615 0.865 0.759
0.135 0.865 0.760
0.875 0.125 0.500
0.875 0.625 0.500
0.135 0.865 0.240
0.375 0.625 0.500
0.615 0.865 0.241
0.135 0.385 0.241
0.375 0.125 0.500
0.615 0.385 0.759
0.375 0.125 0.000
0.875 0.125 0.000
0.375 0.625 0.000
```

## Properties
Formation enthalpy at 0 K   -0.7 kcal/mol of atoms

No. 7
# LaTb6Al

A geometry-optimized LaTb6Al structure (PBE-GGA, the Alexandria database).

Cell and atoms, written as POSCAR:
```
LaTb6Al
1.0
-4.661 -1.057 0.988
1.384 -4.232 1.998
0.881 4.547 9.023
Tb La Al
6 1 1
Direct
0.000 0.500 0.734
0.000 0.500 0.266
0.500 0.000 0.266
0.500 0.500 0.500
0.500 0.000 0.734
0.500 0.500 0.000
0.000 0.000 0.000
0.000 0.000 0.500
```

## Properties
Formation enthalpy at 0 K   -1.1 kcal/mol of atoms

No. 8
# La6Tb12Al

A geometry-optimized La6Tb12Al structure (PBE-GGA, the Alexandria database).

Cell and atoms, written as POSCAR:
```
La6Tb12Al
1.0
-1.814 8.162 -1.767
-5.935 0.085 6.149
5.827 2.599 5.685
Tb La Al
12 6 1
Direct
0.359 0.021 0.175
0.641 0.979 0.825
0.439 0.781 0.533
0.561 0.219 0.467
0.533 0.439 0.781
0.781 0.533 0.439
0.021 0.175 0.359
0.467 0.561 0.219
0.175 0.359 0.021
0.219 0.467 0.561
0.825 0.641 0.979
0.979 0.825 0.641
0.909 0.297 0.737
0.737 0.909 0.297
0.263 0.091 0.703
0.297 0.737 0.909
0.091 0.703 0.263
0.703 0.263 0.091
0.000 0.000 0.000
```

## Properties
Formation enthalpy at 0 K   1.8 kcal/mol of atoms

No. 9
# LaTb4Al

A geometry-optimized LaTb4Al structure (PBE-GGA, the Alexandria database).

Cell and atoms, written as POSCAR:
```
LaTb4Al
1.0
3.612 0.000 0.000
0.000 3.612 0.000
0.000 0.000 13.929
Tb La Al
4 1 1
Direct
0.000 0.000 0.368
0.500 0.500 0.814
0.500 0.500 0.186
0.000 0.000 0.632
0.000 0.000 0.000
0.500 0.500 0.500
```

## Properties
Excess energy over the best structure of this formula in the dataset   0 meV/atom
Formation enthalpy at 0 K   -2.5 kcal/mol of atoms

No. 10
# La6TbAl

A geometry-optimized La6TbAl structure (PBE-GGA, the Alexandria database).

Cell and atoms, written as POSCAR:
```
La6TbAl
1.0
6.616 0.011 -0.023
3.303 5.769 0.015
3.273 1.934 8.068
La Al Tb
6 1 1
Direct
0.793 0.034 0.736
0.207 0.966 0.264
0.964 0.568 0.266
0.571 0.205 0.264
0.036 0.432 0.734
0.429 0.795 0.736
0.000 0.000 0.000
0.500 0.500 0.500
```

## Properties
Excess energy over the best structure of this formula in the dataset   408 meV/atom
Formation enthalpy at 0 K   7.8 kcal/mol of atoms

No. 11
# LaTb3Al2

A geometry-optimized LaTb3Al2 structure (PBE-GGA, the Alexandria database).

Cell and atoms, written as POSCAR:
```
LaTb3Al2
1.0
3.572 0.000 0.000
0.000 3.572 0.000
0.000 0.000 12.801
Tb Al La
3 2 1
Direct
0.000 0.000 0.000
0.000 0.000 0.291
0.000 0.000 0.709
0.500 0.500 0.853
0.500 0.500 0.147
0.500 0.500 0.500
```

## Properties
Formation enthalpy at 0 K   -5.9 kcal/mol of atoms

No. 12
# LaTb5Al6

A geometry-optimized LaTb5Al6 structure (PBE-GGA, the Alexandria database).

Cell and atoms, written as POSCAR:
```
LaTb5Al6
1.0
-0.205 3.216 -4.039
6.074 -2.966 -2.669
-7.178 -5.300 -0.552
Tb Al La
5 6 1
Direct
0.339 0.839 0.678
0.000 0.500 0.000
0.331 0.331 0.661
0.669 0.669 0.339
0.661 0.161 0.322
0.500 0.731 0.000
0.171 0.912 0.342
0.829 0.570 0.658
0.500 0.269 0.000
0.171 0.430 0.342
0.829 0.088 0.658
0.000 0.000 0.000
```

## Properties
Formation enthalpy at 0 K   -8.9 kcal/mol of atoms

No. 13
# La2Tb3Al

A geometry-optimized La2Tb3Al structure (PBE-GGA, the Alexandria database).

Cell and atoms, written as POSCAR:
```
La2Tb3Al
1.0
-2.719 -1.331 2.300
-0.766 -4.248 -3.364
6.531 -2.582 6.227
La Al Tb
2 1 3
Direct
0.000 0.318 0.636
0.000 0.682 0.364
0.000 0.000 0.000
0.500 0.500 0.000
0.500 0.866 0.732
0.500 0.134 0.268
```

## Properties
Formation enthalpy at 0 K   -2.0 kcal/mol of atoms

No. 14
# LaTb2Al6

A geometry-optimized LaTb2Al6 structure (PBE-GGA, the Alexandria database).

Cell and atoms, written as POSCAR:
```
LaTb2Al6
1.0
4.462 0.000 0.000
2.231 7.505 1.398
2.231 2.851 7.082
Al Tb La
6 2 1
Direct
0.314 0.989 0.382
0.686 0.011 0.618
0.500 0.680 0.320
0.500 0.320 0.680
0.686 0.618 0.011
0.314 0.382 0.989
0.876 0.624 0.624
0.124 0.376 0.376
0.000 0.000 0.000
```

## Properties
Excess energy over the best structure of this formula in the dataset   191 meV/atom
Formation enthalpy at 0 K   -6.4 kcal/mol of atoms

No. 15
# LaTbAl

A geometry-optimized LaTbAl structure (PBE-GGA, the Alexandria database).

Cell and atoms, written as POSCAR:
```
LaTbAl
1.0
-3.148 -1.292 0.938
0.097 -2.224 -2.739
4.672 -3.015 4.887
La Al Tb
1 1 1
Direct
0.302 0.302 0.604
0.956 0.956 0.912
0.592 0.592 0.185
```

## Properties
Excess energy over the best structure of this formula in the dataset   9 meV/atom
Formation enthalpy at 0 K   -4.9 kcal/mol of atoms

No. 16
# LaTb3Al4

A geometry-optimized LaTb3Al4 structure (PBE-GGA, the Alexandria database).

Cell and atoms, written as POSCAR:
```
LaTb3Al4
1.0
5.179 0.000 0.000
0.000 7.344 0.000
0.000 0.000 10.360
Al La Tb
8 2 6
Direct
0.500 0.761 0.000
0.000 0.239 0.250
0.000 0.761 0.250
0.500 0.761 0.500
0.000 0.761 0.750
0.000 0.239 0.750
0.500 0.239 0.000
0.500 0.239 0.500
0.000 0.500 0.000
0.000 0.500 0.500
0.000 0.000 0.500
0.000 0.000 0.000
0.500 0.000 0.750
0.500 0.500 0.250
0.500 0.500 0.750
0.500 0.000 0.250
```

## Properties
Formation enthalpy at 0 K   -8.7 kcal/mol of atoms

No. 17
# La5TbAl2

A geometry-optimized La5TbAl2 structure (PBE-GGA, the Alexandria database).

Cell and atoms, written as POSCAR:
```
La5TbAl2
1.0
-0.810 4.965 -2.201
-2.431 -1.332 4.740
16.117 7.191 10.288
La Al Tb
10 4 2
Direct
0.333 0.667 0.554
0.000 0.000 0.846
0.000 0.000 0.654
0.667 0.333 0.250
0.000 0.000 0.154
0.667 0.333 0.054
0.333 0.667 0.750
0.667 0.333 0.446
0.333 0.667 0.946
0.000 0.000 0.346
0.333 0.667 0.398
0.667 0.333 0.602
0.333 0.667 0.102
0.667 0.333 0.898
0.333 0.667 0.250
0.667 0.333 0.750
```

## Properties
Formation enthalpy at 0 K   -1.5 kcal/mol of atoms

No. 18
# LaTb2Al3

A geometry-optimized LaTb2Al3 structure (PBE-GGA, the Alexandria database).

Cell and atoms, written as POSCAR:
```
LaTb2Al3
1.0
-1.459 -2.567 2.170
-1.737 -1.449 -2.883
8.729 -6.603 -1.942
La Al Tb
1 3 2
Direct
0.500 0.500 0.500
0.000 0.000 0.317
0.000 0.000 0.683
0.000 0.000 0.000
0.500 0.500 0.160
0.500 0.500 0.840
```

## Properties
Formation enthalpy at 0 K   -8.9 kcal/mol of atoms

No. 19
# LaTb5Al4

A geometry-optimized LaTb5Al4 structure (PBE-GGA, the Alexandria database).

Cell and atoms, written as POSCAR:
```
LaTb5Al4
1.0
3.587 0.000 0.000
0.000 3.587 0.000
0.000 0.000 20.062
Tb Al La
5 4 1
Direct
0.500 0.500 0.318
0.500 0.500 0.135
0.500 0.500 0.865
0.500 0.500 0.500
0.500 0.500 0.682
0.000 0.000 0.591
0.000 0.000 0.775
0.000 0.000 0.225
0.000 0.000 0.409
0.000 0.000 0.000
```

## Properties
Formation enthalpy at 0 K   -7.2 kcal/mol of atoms

No. 20
# LaTbThAl

A geometry-optimized LaTbThAl structure (PBE-GGA, the Alexandria database).

Cell and atoms, written as POSCAR:
```
LaTbThAl
1.0
5.487 0.000 0.000
2.744 4.752 0.000
2.744 1.584 4.480
La Tb Th Al
1 1 1 1
Direct
0.500 0.500 0.500
0.750 0.750 0.750
0.000 0.000 0.000
0.250 0.250 0.250
```

## Properties
Formation enthalpy at 0 K   0.0 kcal/mol of atoms

No. 21
# LaTbAlTl

A geometry-optimized LaTbAlTl structure (PBE-GGA, the Alexandria database).

Cell and atoms, written as POSCAR:
```
LaTbAlTl
1.0
5.397 0.000 0.000
2.698 4.674 0.000
2.698 1.558 4.406
Tb Al Tl La
1 1 1 1
Direct
0.250 0.250 0.250
0.500 0.500 0.500
0.000 0.000 0.000
0.750 0.750 0.750
```

## Properties
Formation enthalpy at 0 K   -8.1 kcal/mol of atoms

No. 22
# LaTbTmAl

A geometry-optimized LaTbTmAl structure (PBE-GGA, the Alexandria database).

Cell and atoms, written as POSCAR:
```
LaTbTmAl
1.0
3.537 0.000 0.000
0.000 3.537 0.000
0.000 0.000 9.181
Tm La Al Tb
1 1 1 1
Direct
0.500 0.500 0.366
0.000 0.000 0.076
0.000 0.000 0.567
0.500 0.500 0.776
```

## Properties
Excess energy over the best structure of this formula in the dataset   0 meV/atom
Formation enthalpy at 0 K   -4.3 kcal/mol of atoms

No. 23
# LaTbTmAl

A geometry-optimized LaTbTmAl structure (PBE-GGA, the Alexandria database).

Cell and atoms, written as POSCAR:
```
LaTbTmAl
1.0
-1.475 3.770 -3.612
-2.593 -1.458 -4.537
-5.243 1.235 -0.645
La Tb Tm Al
1 1 1 1
Direct
0.500 0.500 0.500
0.000 0.000 0.000
0.750 0.750 0.750
0.250 0.250 0.250
```

## Properties
Excess energy over the best structure of this formula in the dataset   109 meV/atom
Formation enthalpy at 0 K   -1.8 kcal/mol of atoms

No. 24
# LaTbYAl

A geometry-optimized LaTbYAl structure (PBE-GGA, the Alexandria database).

Cell and atoms, written as POSCAR:
```
LaTbYAl
1.0
3.562 0.000 0.000
0.000 3.562 0.000
0.000 0.000 9.202
Al La Y Tb
1 1 1 1
Direct
0.000 0.000 0.572
0.000 0.000 0.072
0.500 0.500 0.776
0.500 0.500 0.365
```

## Properties
Excess energy over the best structure of this formula in the dataset   0 meV/atom
Formation enthalpy at 0 K   -4.4 kcal/mol of atoms

Number 1: magnetization 0.0000 μB per atom, volume 28.20 Å³/atom. Number 2: magnetization 0.0000 μB per atom, volume 20.80 Å³/atom. Number 3: magnetization 0.0000 μB per atom, volume 31.60 Å³/atom. Number 4: magnetization 0.0005 μB per atom, volume 31.84 Å³/atom. Number 5: magnetization 0.0018 μB per atom, volume 28.46 Å³/atom. Number 6: magnetization 0.0000 μB per atom, volume 34.50 Å³/atom. Number 7: magnetization 0.0000 μB per atom, volume 30.19 Å³/atom. Number 8: magnetization 0.0000 μB per atom, volume 32.85 Å³/atom. Number 9: magnetization 0.0000 μB per atom, volume 30.28 Å³/atom. Number 10: magnetization 0.0000 μB per atom, volume 38.47 Å³/atom. Number 11: magnetization 0.0000 μB per atom, volume 27.21 Å³/atom. Number 12: magnetization 0.0000 μB per atom, volume 24.25 Å³/atom. Number 13: magnetization 0.0000 μB per atom, volume 31.14 Å³/atom. Number 14: magnetization 0.0000 μB per atom, volume 24.37 Å³/atom. Number 15: magnetization 0.0000 μB per atom, volume 28.93 Å³/atom. Number 16: magnetization 0.0000 μB per atom, volume 24.63 Å³/atom. Number 17: magnetization 0.0000 μB per atom, volume 33.34 Å³/atom. Number 18: magnetization 0.0000 μB per atom, volume 24.88 Å³/atom. Number 19: magnetization 0.0000 μB per atom, volume 25.82 Å³/atom. Number 20: magnetization 0.0000 μB per atom, volume 29.20 Å³/atom. Number 21: magnetization 0.0000 μB per atom, volume 27.79 Å³/atom. Number 22: magnetization 0.0000 μB per atom, volume 28.71 Å³/atom. Number 23: magnetization 0.0702 μB per atom, volume 28.23 Å³/atom. Number 24: magnetization 0.0000 μB per atom, volume 29.18 Å³/atom.